Material: ScBTeF2
Method: DFT, PBE-GGA
State: optimized geometry

Calculated values
* calculated total energy: -27.5 eV/f.u.
* DOS(E_F): 1.92 states/eV per cell
* crystal system: tetragonal

abc: 3.902 5.658 3.902
angles: 90.00 90.00 90.00
Element x y z (fractional)
Sc 0.000 0.000 0.000
B 0.000 0.500 0.000
F 0.000 0.000 0.500
F 0.500 0.000 0.000
Te 0.500 0.500 0.500



Material: PuURh6
Method: DFT, PBE-GGA
State: optimized geometry

Calculated values
* formation enthalpy at 0 K: -545 meV per atom
* calculated total energy: -74.1 eV/f.u.
* DOS(E_F): 18.33 states/eV per cell
* crystal system: tetragonal

abc: 4.028 4.028 8.094
angles: 90.00 90.00 90.00
Each line ends with the local moment (μB).
Element x y z (fractional)
Rh 0.000 0.500 0.741  -0.24
Rh 0.500 0.500 0.500  -0.16
Rh 0.500 0.000 0.741  -0.24
Rh 0.500 0.000 0.259  -0.24
Rh 0.000 0.500 0.259  -0.24
Rh 0.500 0.500 0.000  -0.48
Pu 0.000 0.000 0.000  4.42
U 0.000 0.000 0.500  0.20



Material: AgHgRh2
Method: DFT, PBE-GGA
State: optimized geometry

Calculated values
* formation enthalpy at 0 K: 292 meV per atom
* calculated total energy: -16.7 eV/f.u.
* DOS(E_F): 4.21 states/eV per cell
* crystal system: trigonal

abc: 9.387 9.387 9.387
angles: 17.70 17.70 17.70
Each line ends with the local moment (μB).
Element x y z (fractional)
Ag 0.500 0.500 0.500  0.01
Rh 0.750 0.750 0.750  0.58
Rh 0.250 0.250 0.250  0.58
Hg 0.000 0.000 0.000  -0.01



Material: BaLi2ZnPd
Method: DFT, PBE-GGA
State: optimized geometry

Calculated values
* formation enthalpy at 0 K: -230 meV per atom
* calculated total energy: -13.4 eV/f.u.
* energy above the lowest structure with this stoichiometry: 0.0000 eV/atom
* DOS(E_F): 2.74 states/eV per cell
* crystal system: tetragonal

abc: 4.989 4.989 5.016
angles: 90.00 90.00 90.00
Element x y z (fractional)
Pd 0.000 0.000 0.000
Zn 0.000 0.000 0.500
Li 0.000 0.500 0.000
Li 0.500 0.000 0.000
Ba 0.500 0.500 0.500



Material: CsScNi3
Method: DFT, PBE-GGA
State: optimized geometry

Calculated values
* formation enthalpy at 0 K: 951 meV per atom
* calculated total energy: -19.8 eV/f.u.
* energy above the lowest structure with this stoichiometry: 0.0000 eV/atom
* DOS(E_F): 4.75 states/eV per cell
* crystal system: cubic

abc: 4.905 4.905 4.905
angles: 90.00 90.00 90.00
Element x y z (fractional)
Cs 0.500 0.500 0.500
Ni 0.000 0.500 0.000
Ni 0.500 0.000 0.000
Ni 0.000 0.000 0.500
Sc 0.000 0.000 0.000



Material: SrErIO6
Method: DFT, PBE-GGA
State: optimized geometry

Calculated values
* calculated total energy: -55.0 eV/f.u.
* DOS(E_F): 0.00 states/eV per cell
* crystal system: trigonal

abc: 5.612 5.612 10.340
angles: 90.00 90.00 120.00
Element x y z (fractional)
O 0.395 0.349 0.355
O 0.349 0.395 0.855
O 0.046 0.651 0.855
O 0.395 0.046 0.145
O 0.651 0.605 0.145
O 0.954 0.349 0.145
O 0.954 0.605 0.355
O 0.605 0.651 0.645
O 0.651 0.046 0.355
O 0.605 0.954 0.855
O 0.046 0.395 0.645
O 0.349 0.954 0.645
I 0.333 0.667 0.750
I 0.667 0.333 0.250
Er 0.667 0.333 0.750
Er 0.333 0.667 0.250
Sr 0.000 0.000 0.000
Sr 0.000 0.000 0.500



Material: NaMgSi
Method: DFT, PBE-GGA
State: optimized geometry

Calculated values
* calculated total energy: -8.1 eV/f.u.
* DOS(E_F): 1.90 states/eV per cell
* crystal system: triclinic

abc: 3.218 6.695 6.769
angles: 104.33 104.62 89.62
Element x y z (fractional)
Mg 0.599 0.109 0.958
Mg 0.278 0.995 0.331
Si 0.947 0.238 0.662
Si 0.931 0.866 0.627
Na 0.569 0.616 0.903
Na 0.310 0.488 0.386



Material: UGaTcGe
Method: DFT, PBE-GGA
State: optimized geometry

Calculated values
* formation enthalpy at 0 K: -116 meV per atom
* calculated total energy: -29.8 eV/f.u.
* DOS(E_F): 4.35 states/eV per cell
* crystal system: cubic

abc: 4.624 4.624 4.624
angles: 60.00 60.00 60.00
Each line ends with the local moment (μB).
Element x y z (fractional)
Ga 0.750 0.750 0.750  -0.01
U 0.500 0.500 0.500  1.17
Ge 0.250 0.250 0.250  -0.01
Tc 0.000 0.000 0.000  -0.26



Material: IClO2
Method: DFT, PBE-GGA
State: optimized geometry

Calculated values
* calculated total energy: -13.9 eV/f.u.
* energy above the lowest structure with this stoichiometry: 0.0000 eV/atom
* DOS(E_F): 0.00 states/eV per cell
* crystal system: triclinic

abc: 6.429 4.455 5.854
angles: 90.72 80.18 44.12
Element x y z (fractional)
O 0.055 0.607 0.410
O 0.505 0.701 0.417
I 0.462 0.143 0.387
Cl 0.672 0.975 0.965



Material: Tl2Bi3S6
Method: DFT, PBE-GGA
State: optimized geometry

Calculated values
* calculated total energy: -44.8 eV/f.u.
* DOS(E_F): 5.47 states/eV per cell
* crystal system: monoclinic

abc: 7.088 7.087 7.565
angles: 80.96 71.69 60.00
Element x y z (fractional)
S 0.255 0.000 0.222
S 0.930 0.663 0.220
S 0.593 0.337 0.220
S 0.407 0.663 0.780
S 0.745 0.000 0.778
S 0.070 0.337 0.780
Bi 0.000 0.000 0.000
Bi 0.667 0.667 0.000
Bi 0.333 0.333 0.000
Tl 0.835 0.330 0.500
Tl 0.165 0.670 0.500



Material: Tm5Ni4Pd
Method: DFT, PBE-GGA
State: optimized geometry

Calculated values
* formation enthalpy at 0 K: -544 meV per atom
* calculated total energy: -56.1 eV/f.u.
* DOS(E_F): 8.77 states/eV per cell
* crystal system: tetragonal

abc: 3.335 3.335 16.985
angles: 90.00 90.00 90.00
Element x y z (fractional)
Ni 0.000 0.000 0.402
Ni 0.000 0.000 0.795
Ni 0.000 0.000 0.598
Ni 0.000 0.000 0.205
Tm 0.500 0.500 0.893
Tm 0.500 0.500 0.696
Tm 0.500 0.500 0.107
Tm 0.500 0.500 0.500
Tm 0.500 0.500 0.304
Pd 0.000 0.000 0.000



Material: ZrSiI2
Method: DFT, PBE-GGA
State: optimized geometry

Calculated values
* calculated total energy: -15.1 eV/f.u.
* energy above the lowest structure with this stoichiometry: 0.1954 eV/atom
* DOS(E_F): 9.42 states/eV per cell
* crystal system: tetragonal

abc: 8.022 8.022 6.653
angles: 52.92 52.92 90.00
Each line ends with the local moment (μB).
Element x y z (fractional)
Zr 0.000 0.000 0.000  0.40
Zr 0.750 0.250 0.500  0.42
I 0.375 0.370 0.750  0.00
I 0.630 0.125 0.250  0.00
I 0.120 0.625 0.250  0.00
I 0.875 0.880 0.750  0.00
Si 0.250 0.750 0.500  0.01
Si 0.500 0.500 0.000  0.01